(1)
# PBE RbSrIn2Tc, optimized geometry
# **V**: 161.9 Å³/cell
# **E_tot**: -16.18 eV per cell
# **Calculated formation energy**: 462 meV/atom
data_RbSrIn2Tc
_chemical_formula_sum 'Rb1 Sr1 In2 Tc1'
_cell_length_a 5.364
_cell_length_b 5.364
_cell_length_c 5.625
_cell_angle_alpha 90.00
_cell_angle_beta 90.00
_cell_angle_gamma 90.00
_space_group_name_H-M_alt 'P 1'
_space_group_IT_number 1
loop_
_space_group_symop_operation_xyz
'x,y,z'
loop_
_atom_site_label
_atom_site_type_symbol
_atom_site_fract_x
_atom_site_fract_y
_atom_site_fract_z
_atom_site_occupancy
Rb1 Rb 0.000 0.000 0.000 1
Sr1 Sr 0.500 0.500 0.000 1
In1 In 0.000 0.500 0.500 1
In2 In 0.500 0.000 0.500 1
Tc1 Tc 0.000 0.000 0.500 1

(2)
# PBE RbSrInTe3, optimized geometry
# **V**: 511.6 Å³/cell
# **Formation energy (no corrections)**: -0.954 eV per atom
# **E_tot**: -41.07 eV per cell
data_RbSrInTe3
_chemical_formula_sum 'Rb2 Sr2 In2 Te6'
_cell_length_a 12.006
_cell_length_b 12.006
_cell_length_c 9.346
_cell_angle_alpha 99.89
_cell_angle_beta 99.89
_cell_angle_gamma 22.69
_space_group_name_H-M_alt 'P 1'
_space_group_IT_number 1
loop_
_space_group_symop_operation_xyz
'x,y,z'
loop_
_atom_site_label
_atom_site_type_symbol
_atom_site_fract_x
_atom_site_fract_y
_atom_site_fract_z
_atom_site_occupancy
Rb1 Rb 0.163 0.163 0.458 1
Rb2 Rb 0.837 0.837 0.542 1
Sr1 Sr 0.172 0.172 0.952 1
Sr2 Sr 0.828 0.828 0.048 1
In1 In 0.477 0.477 0.165 1
In2 In 0.523 0.523 0.835 1
Te1 Te 0.050 0.050 0.692 1
Te2 Te 0.278 0.278 0.234 1
Te3 Te 0.406 0.406 0.878 1
Te4 Te 0.594 0.594 0.122 1
Te5 Te 0.722 0.722 0.766 1
Te6 Te 0.950 0.950 0.308 1

(3)
# PBE RbSrTlIn2, optimized geometry
# **V**: 219.2 Å³/cell
# **E_tot**: -9.41 eV per cell
# **Calculated formation energy**: 217 meV/atom
data_RbSrTlIn2
_chemical_formula_sum 'Rb1 Sr1 Tl1 In2'
_cell_length_a 5.891
_cell_length_b 5.891
_cell_length_c 6.318
_cell_angle_alpha 90.00
_cell_angle_beta 90.00
_cell_angle_gamma 90.00
_space_group_name_H-M_alt 'P 1'
_space_group_IT_number 1
loop_
_space_group_symop_operation_xyz
'x,y,z'
loop_
_atom_site_label
_atom_site_type_symbol
_atom_site_fract_x
_atom_site_fract_y
_atom_site_fract_z
_atom_site_occupancy
Rb1 Rb 0.000 0.000 0.000 1
Sr1 Sr 0.500 0.500 0.000 1
Tl1 Tl 0.000 0.000 0.500 1
In1 In 0.000 0.500 0.500 1
In2 In 0.500 0.000 0.500 1

(4)
# PBE RbSrZr2In, optimized geometry
# **V**: 265.0 Å³/cell
# **E_tot**: -12.59 eV per cell
# **Calculated formation energy**: 1979 meV/atom
data_RbSrZr2In
_chemical_formula_sum 'Rb1 Sr1 Zr2 In1'
_cell_length_a 6.774
_cell_length_b 6.774
_cell_length_c 5.775
_cell_angle_alpha 90.00
_cell_angle_beta 90.00
_cell_angle_gamma 90.00
_space_group_name_H-M_alt 'P 1'
_space_group_IT_number 1
loop_
_space_group_symop_operation_xyz
'x,y,z'
loop_
_atom_site_label
_atom_site_type_symbol
_atom_site_fract_x
_atom_site_fract_y
_atom_site_fract_z
_atom_site_occupancy
Rb1 Rb 0.000 0.000 0.000 1
Sr1 Sr 0.500 0.500 0.500 1
Zr1 Zr 0.000 0.500 0.000 1
Zr2 Zr 0.500 0.000 0.000 1
In1 In 0.000 0.000 0.500 1

(5)
# PBE Rb2TaIn2, optimized geometry
# **V**: 208.5 Å³/cell
# **E_tot**: -13.67 eV per cell
# **Calculated formation energy**: 1120 meV/atom
data_Rb2TaIn2
_chemical_formula_sum 'Rb2 Ta1 In2'
_cell_length_a 12.544
_cell_length_b 12.544
_cell_length_c 12.544
_cell_angle_alpha 161.03
_cell_angle_beta 161.03
_cell_angle_gamma 26.96
_space_group_name_H-M_alt 'P 1'
_space_group_IT_number 1
loop_
_space_group_symop_operation_xyz
'x,y,z'
loop_
_atom_site_label
_atom_site_type_symbol
_atom_site_fract_x
_atom_site_fract_y
_atom_site_fract_z
_atom_site_occupancy
Rb1 Rb 0.106 0.106 0.000 1
Rb2 Rb 0.894 0.894 0.000 1
Ta1 Ta 0.500 0.500 0.000 1
In1 In 0.250 0.750 0.500 1
In2 In 0.750 0.250 0.500 1

(6)
# PBE RbTa3In, optimized geometry
# **V**: 113.1 Å³/cell
# **E_tot**: -24.47 eV per cell
# **Calculated formation energy**: 2958 meV/atom
data_RbTa3In
_chemical_formula_sum 'Rb1 Ta3 In1'
_cell_length_a 4.836
_cell_length_b 4.836
_cell_length_c 4.836
_cell_angle_alpha 90.00
_cell_angle_beta 90.00
_cell_angle_gamma 90.00
_space_group_name_H-M_alt 'P 1'
_space_group_IT_number 1
loop_
_space_group_symop_operation_xyz
'x,y,z'
loop_
_atom_site_label
_atom_site_type_symbol
_atom_site_fract_x
_atom_site_fract_y
_atom_site_fract_z
_atom_site_occupancy
Rb1 Rb 0.000 0.000 0.000 1
Ta1 Ta 0.000 0.000 0.500 1
Ta2 Ta 0.000 0.500 0.000 1
Ta3 Ta 0.500 0.000 0.000 1
In1 In 0.500 0.500 0.500 1

(7)
# PBE RbTa3In, optimized geometry
# **V**: 144.8 Å³/cell
# **E_tot**: -27.30 eV per cell
# **Calculated formation energy**: 2392 meV/atom
data_RbTa3In
_chemical_formula_sum 'Rb1 Ta3 In1'
_cell_length_a 5.252
_cell_length_b 5.252
_cell_length_c 5.252
_cell_angle_alpha 90.00
_cell_angle_beta 90.00
_cell_angle_gamma 90.00
_space_group_name_H-M_alt 'P 1'
_space_group_IT_number 1
loop_
_space_group_symop_operation_xyz
'x,y,z'
loop_
_atom_site_label
_atom_site_type_symbol
_atom_site_fract_x
_atom_site_fract_y
_atom_site_fract_z
_atom_site_occupancy
Rb1 Rb 0.000 0.000 0.000 1
Ta1 Ta 0.000 0.500 0.500 1
Ta2 Ta 0.500 0.000 0.500 1
Ta3 Ta 0.500 0.500 0.000 1
In1 In 0.500 0.500 0.500 1

(8)
# PBE Rb2TaIn, optimized geometry
# **V**: 321.4 Å³/cell
# **E_tot**: -22.06 eV per cell
# **Calculated formation energy**: 1374 meV/atom
data_Rb2TaIn
_chemical_formula_sum 'Rb4 Ta2 In2'
_cell_length_a 7.830
_cell_length_b 7.830
_cell_length_c 7.830
_cell_angle_alpha 99.10
_cell_angle_beta 99.10
_cell_angle_gamma 133.14
_space_group_name_H-M_alt 'P 1'
_space_group_IT_number 1
loop_
_space_group_symop_operation_xyz
'x,y,z'
loop_
_atom_site_label
_atom_site_type_symbol
_atom_site_fract_x
_atom_site_fract_y
_atom_site_fract_z
_atom_site_occupancy
Rb1 Rb 0.117 0.625 0.992 1
Rb2 Rb 0.375 0.367 0.492 1
Rb3 Rb 0.633 0.125 0.008 1
Rb4 Rb 0.875 0.883 0.508 1
Ta1 Ta 0.250 0.750 0.500 1
Ta2 Ta 0.500 0.500 0.000 1
In1 In 0.000 0.000 0.000 1
In2 In 0.750 0.250 0.500 1

Sequential Fermi-level density of states output: 4.14, 0.01, 3.09, 13.51, 7.86, 4.46, 10.15, 3.41 states/eV/f.u.
Sequential total magnetization output: 0.000, 0.000, 0.000, 5.854, 3.977, 0.000, 0.000, 7.846 μB per cell
Sequential density output: 5.1, 4.4, 4.6, 2.9, 4.6, 10.9, 8.5, 4.8 g cm⁻³